First-principles (PBE) data for an optimized crystal structure of Rb4Pm3HoTe8, as listed in Alexandria.

Output
- formation energy without anion corrections (eV per atom) = -1.40

a b c (Å): 9.1917 9.1917 25.6968
angles (deg): 90.00 90.00 120.00
Closest atoms and distances in Å follow each position.
Space group R-3m (No. 166, hexagonal axes)
Unique sites:
Rb: 0.0000 0.0000 0.0000 x3  6 Te 3.72
Rb: 0.0000 0.5000 0.0000 x9  6 Te 3.67
Pm: 0.0000 0.5000 0.5000 x9  6 Te 3.18-3.19
Ho: 0.0000 0.0000 0.5000 x3  6 Te 3.12
Te: 0.0000 0.0000 0.2349 x6  3 Pm 3.18
Te: 0.0062 0.5031 0.2339 x18  1 Ho 3.12, 2 Pm 3.19